Record 1
First-principles (GGA-PBE) data for RbMg3Se after structural relaxation, as listed in the Alexandria database. Values from VASP.

## Properties
Calculated volume   172.6 Å³ per cell
Symmetry   No. 221
M_tot   0.00 μB per formula unit
Relative energy among the computed polymorphs   0 meV per atom
Energy relative to the elements, uncorrected   0.079 eV/atom

Structure (Quantum ESPRESSO input):
```
&SYSTEM
  ibrav = 0, nat = 5, ntyp = 3
/
ATOMIC_SPECIES
Mg 24.30 Mg.upf
Se 78.96 Se.upf
Rb 85.47 Rb.upf
ATOMIC_POSITIONS crystal
Mg 0.000 0.500 0.000
Mg 0.500 0.000 0.000
Mg 0.000 0.000 0.500
Se 0.000 0.000 0.000
Rb 0.500 0.500 0.500
CELL_PARAMETERS angstrom
-4.833 -1.998 1.910
2.523 -1.617 4.693
-1.129 4.939 2.309
```

=====

Record 2
First-principles (GGA-PBE) data for Rb3Mg2Se4 after structural relaxation, as listed in the Alexandria database. Values from VASP.

## Properties
Calculated volume   333.3 Å³ per cell
Symmetry   No. 2
M_tot   0.96 μB per formula unit
Energy relative to the elements, uncorrected   -1.102 eV/atom

Structure (Quantum ESPRESSO input):
```
&SYSTEM
  ibrav = 0, nat = 9, ntyp = 3
/
ATOMIC_SPECIES
Se 78.96 Se.upf
Mg 24.30 Mg.upf
Rb 85.47 Rb.upf
ATOMIC_POSITIONS crystal
Se 0.524 0.740 0.048
Se 0.220 0.148 0.443
Se 0.476 0.260 0.952
Se 0.780 0.852 0.557
Mg 0.325 0.036 0.649
Mg 0.675 0.964 0.351
Rb 0.880 0.432 0.759
Rb 0.120 0.568 0.241
Rb 0.000 0.000 0.000
CELL_PARAMETERS angstrom
4.069 0.002 -1.138
-1.066 8.875 -3.854
0.463 -1.016 9.577
```

=====

Record 3
First-principles (GGA-PBE) data for RbMgSe after structural relaxation, as listed in the Alexandria database. Values from VASP.

## Properties
Calculated volume   252.6 Å³ per cell
Symmetry   No. 129
M_tot   0.00 μB per formula unit
Relative energy among the computed polymorphs   57 meV per atom
Energy relative to the elements, uncorrected   -0.753 eV/atom

Structure (Quantum ESPRESSO input):
```
&SYSTEM
  ibrav = 0, nat = 6, ntyp = 3
/
ATOMIC_SPECIES
Mg 24.30 Mg.upf
Rb 85.47 Rb.upf
Se 78.96 Se.upf
ATOMIC_POSITIONS crystal
Mg 0.000 0.000 0.500
Mg 0.500 0.500 0.500
Rb 0.000 0.500 0.834
Rb 0.500 0.000 0.166
Se 0.500 0.000 0.617
Se 0.000 0.500 0.383
CELL_PARAMETERS angstrom
4.610 0.000 0.000
0.000 4.610 0.000
0.000 0.000 11.884
```

=====

Record 4
First-principles (GGA-PBE) data for RbMgSe after structural relaxation, as listed in the Alexandria database. Values from VASP.

## Properties
Calculated volume   483.4 Å³ per cell
Symmetry   No. 9
M_tot   0.00 μB per formula unit
Relative energy among the computed polymorphs   0 meV per atom
Energy relative to the elements, uncorrected   -0.809 eV/atom

Structure (Quantum ESPRESSO input):
```
&SYSTEM
  ibrav = 0, nat = 12, ntyp = 3
/
ATOMIC_SPECIES
Se 78.96 Se.upf
Mg 24.30 Mg.upf
Rb 85.47 Rb.upf
ATOMIC_POSITIONS crystal
Se 0.935 0.191 0.730
Se 0.191 0.935 0.230
Se 0.607 0.260 0.263
Se 0.260 0.607 0.763
Mg 0.956 0.735 0.999
Mg 0.088 0.926 0.573
Mg 0.926 0.088 0.073
Mg 0.735 0.956 0.499
Rb 0.159 0.474 0.485
Rb 0.527 0.655 0.932
Rb 0.655 0.527 0.432
Rb 0.474 0.159 0.985
CELL_PARAMETERS angstrom
-3.120 -1.411 8.134
0.627 -7.884 3.918
5.898 -0.195 5.539
```

=====

Record 5
First-principles (GGA-PBE) data for RbMg3Se after structural relaxation, as listed in the Alexandria database. Values from VASP.

## Properties
Calculated volume   329.5 Å³ per cell
Symmetry   No. 221
M_tot   1.00 μB per formula unit
Relative energy among the computed polymorphs   980 meV per atom
Energy relative to the elements, uncorrected   1.059 eV/atom

Structure (Quantum ESPRESSO input):
```
&SYSTEM
  ibrav = 0, nat = 5, ntyp = 3
/
ATOMIC_SPECIES
Mg 24.30 Mg.upf
Se 78.96 Se.upf
Rb 85.47 Rb.upf
ATOMIC_POSITIONS crystal
Mg 0.500 0.000 0.000
Mg 0.000 0.000 0.500
Mg 0.000 0.500 0.000
Se 0.500 0.500 0.500
Rb 0.000 0.000 0.000
CELL_PARAMETERS angstrom
-5.917 -0.796 3.473
2.224 -6.085 2.394
2.784 3.170 5.469
```

=====

Record 6
First-principles (GGA-PBE) data for Rb6MgSe4 after structural relaxation, as listed in the Alexandria database. Values from VASP.

## Properties
Calculated volume   845.3 Å³ per cell
Symmetry   No. 186
M_tot   0.00 μB per formula unit
Energy relative to the elements, uncorrected   -1.154 eV/atom

Structure (Quantum ESPRESSO input):
```
&SYSTEM
  ibrav = 0, nat = 22, ntyp = 3
/
ATOMIC_SPECIES
Se 78.96 Se.upf
Rb 85.47 Rb.upf
Mg 24.30 Mg.upf
ATOMIC_POSITIONS crystal
Se 0.846 0.198 0.802
Se 0.432 0.333 0.667
Se 0.846 0.198 0.395
Se 0.846 0.605 0.802
Se 0.346 0.802 0.198
Se 0.346 0.395 0.198
Se 0.932 0.667 0.333
Se 0.346 0.802 0.605
Rb 0.957 0.853 0.706
Rb 0.957 0.853 0.147
Rb 0.457 0.706 0.853
Rb 0.957 0.294 0.147
Rb 0.634 0.530 0.059
Rb 0.134 0.470 0.941
Rb 0.457 0.147 0.853
Rb 0.457 0.147 0.294
Rb 0.634 0.530 0.470
Rb 0.134 0.059 0.530
Rb 0.634 0.941 0.470
Rb 0.134 0.470 0.530
Mg 0.748 0.333 0.667
Mg 0.248 0.667 0.333
CELL_PARAMETERS angstrom
8.408 0.000 0.000
0.000 9.331 -5.387
0.000 0.000 10.774
```

=====

Record 7
First-principles (GGA-PBE) data for RbMgSe3 after structural relaxation, as listed in the Alexandria database. Values from VASP.

## Properties
Calculated volume   144.5 Å³ per cell
Symmetry   No. 221
M_tot   0.00 μB per formula unit
Relative energy among the computed polymorphs   0 meV per atom
Energy relative to the elements, uncorrected   -0.478 eV/atom

Structure (Quantum ESPRESSO input):
```
&SYSTEM
  ibrav = 0, nat = 5, ntyp = 3
/
ATOMIC_SPECIES
Se 78.96 Se.upf
Rb 85.47 Rb.upf
Mg 24.30 Mg.upf
ATOMIC_POSITIONS crystal
Se 0.500 0.000 0.000
Se 0.000 0.000 0.500
Se 0.000 0.500 0.000
Rb 0.500 0.500 0.500
Mg 0.000 0.000 0.000
CELL_PARAMETERS angstrom
-4.146 -0.551 -3.170
3.186 0.012 -4.170
0.445 -5.219 0.325
```

=====

Record 8
First-principles (GGA-PBE) data for Rb2MgSe2 after structural relaxation, as listed in the Alexandria database. Values from VASP.

## Properties
Calculated volume   324.1 Å³ per cell
Symmetry   No. 127
M_tot   0.00 μB per formula unit
Energy relative to the elements, uncorrected   -0.824 eV/atom

Structure (Quantum ESPRESSO input):
```
&SYSTEM
  ibrav = 0, nat = 10, ntyp = 3
/
ATOMIC_SPECIES
Se 78.96 Se.upf
Mg 24.30 Mg.upf
Rb 85.47 Rb.upf
ATOMIC_POSITIONS crystal
Se 0.319 0.819 0.000
Se 0.181 0.319 0.000
Se 0.819 0.681 0.000
Se 0.681 0.181 0.000
Mg 0.500 0.500 0.000
Mg 0.000 0.000 0.000
Rb 0.642 0.858 0.500
Rb 0.858 0.358 0.500
Rb 0.142 0.642 0.500
Rb 0.358 0.142 0.500
CELL_PARAMETERS angstrom
7.852 0.000 0.000
0.000 7.852 0.000
0.000 0.000 5.257
```